VASP calculation (PBE) on an optimized crystal structure of Tb4Pr3Tm3.

The structure in POSCAR format:
```
Tb4Pr3Tm3
1.0
-2.666 1.940 -1.707
-6.160 -2.601 6.665
2.344 7.642 5.023
Tb Tm Pr
4 3 3
direct
0.000 0.627 0.373
0.000 0.878 0.871
0.000 0.371 0.629
0.000 0.129 0.122
0.000 0.492 0.997
0.000 0.003 0.508
0.500 0.173 0.827
0.500 0.828 0.172
0.500 0.672 0.674
0.500 0.326 0.328
```

Summary:
Symmetry: Amm2 (38)
Formation enthalpy at 0 K (eV per atom): 0.11
D(E_F) (states/eV per atom): 0.7807
Total magnetization (μB per formula unit): 0.0